Compound: NaNi2AsRu
Source: Alexandria
Functional: PBE
Structure: relaxed

Values from the calculation:
**DOS(E_F)**: 3.08 states/eV per cell
**Crystal system**: tetragonal
**E**: -4.89 eV per atom
**Space group**: P4/mmm (123)

Cell lengths 4.4117, 4.4117, 4.6027 Å; angles 90.00, 90.00, 90.00 degrees
Element x y z (fractional)
Na1 0.0000 0.0000 0.0000
Ni1 0.0000 0.5000 0.5000
Ni2 0.5000 0.0000 0.5000
As1 0.5000 0.5000 0.5000
Ru1 0.5000 0.5000 0.0000